# 1
Below is a geometry-optimized Ba2SrP2 structure, with properties calculated at the PBE level.

Calculated values
As for the symmetry: P4/mbm. Its theoretical density is 4260 kg/m3. The total energy comes out at -4.15 eV/atom.

a b c (Å): 8.6999 8.6999 4.3699
angles (deg): 90.00 90.00 90.00
Last column: nearest neighbours and their distance in Å.
Atoms (fractional coordinates):
Sr1 0.0000 0.0000 0.0000  4 P 3.22
Sr2 0.5000 0.5000 0.0000  4 P 3.22
Ba1 0.6353 0.8647 0.5000  6 P 3.21-3.48, 1 Ba 3.33
Ba2 0.3647 0.1353 0.5000  6 P 3.21-3.48, 1 Ba 3.33
Ba3 0.1353 0.6353 0.5000  6 P 3.21-3.48, 1 Ba 3.33
Ba4 0.8647 0.3647 0.5000  6 P 3.21-3.48, 1 Ba 3.33
P1 0.6733 0.1733 0.0000  6 Ba 3.21-3.48, 2 Sr 3.22
P2 0.8267 0.6733 0.0000  6 Ba 3.21-3.48, 2 Sr 3.22
P3 0.3267 0.8267 0.0000  6 Ba 3.21-3.48, 2 Sr 3.22
P4 0.1733 0.3267 0.0000  6 Ba 3.21-3.48, 2 Sr 3.22

---

# 2
Below is a geometry-optimized ScCrTc2C structure, with properties calculated at the PBE level.

Calculated values
As for the symmetry: P4/mmm. Its theoretical density is 7367 kg/m3. The total energy comes out at -9.25 eV/atom.

a b c (Å): 4.1750 4.1750 3.9435
angles (deg): 90.00 90.00 90.00
Last column: nearest neighbours and their distance in Å.
Atoms (fractional coordinates):
Tc1 0.0000 0.5000 0.0000  2 C 2.09
Tc2 0.5000 0.0000 0.0000  2 C 2.09
Sc1 0.5000 0.5000 0.5000  8 Tc 2.87, 4 Cr 2.95
C1 0.0000 0.0000 0.0000  2 Cr 1.97, 4 Tc 2.09
Cr1 0.0000 0.0000 0.5000  2 C 1.97

---

# 3
Below is a geometry-optimized Y2Er2Zn structure, with properties calculated at the PBE level.

Calculated values
As for the symmetry: I4_1/amd. Its theoretical density is 6473 kg/m3. The total energy comes out at -4.66 eV/atom.

a b c (Å): 4.9492 4.9492 12.5975
angles (deg): 101.33 101.33 90.00
Last column: nearest neighbours and their distance in Å.
Atoms (fractional coordinates):
Y1 0.3224 0.3224 0.6448  2 Zn 3.03
Y2 0.6776 0.6776 0.3552  2 Zn 3.03
Y3 0.0724 0.5724 0.1448  2 Zn 3.03
Y4 0.4276 0.9276 0.8552  2 Zn 3.03
Zn1 0.2500 0.7500 0.5000  4 Er 3.00, 4 Y 3.03
Zn2 0.5000 0.5000 0.0000  4 Er 3.00, 4 Y 3.03
Er1 0.1798 0.1798 0.3596  2 Zn 3.00
Er2 0.9298 0.4298 0.8596  2 Zn 3.00
Er3 0.8202 0.8202 0.6404  2 Zn 3.00
Er4 0.5702 0.0702 0.1404  2 Zn 3.00